An optimized crystal structure of Ho6Te3PSe2, computed with GGA-PBE.

```
Ho6Te3PSe2
1.0
3.596 -6.222 0.000
3.596 6.222 0.000
-2.388 0.000 6.978
Ho Te P Se
6 3 1 2
Cartesian
1.138 1.972 1.474 Ho
-0.121 0.000 5.481 Ho
1.138 -1.972 1.474 Ho
3.667 1.972 5.504 Ho
4.926 0.000 1.497 Ho
3.667 -1.972 5.504 Ho
2.402 4.093 3.489 Te
2.402 0.000 3.489 Te
2.402 -4.093 3.489 Te
0.000 0.000 0.000 P
3.596 2.061 0.000 Se
3.596 -2.061 0.000 Se
```

## Properties
Formation energy from raw total energies (eV/atom): -1.54
Calculated volume (A^3/atom): 26.0
SG: C2/m, No. 12
Size of the total moment (Bohr magnetons per cell): 0.000



An optimized crystal structure of Ho4Te2PSe, computed with GGA-PBE.

```
Ho4Te2PSe
1.0
7.165 0.000 0.000
0.000 4.122 0.000
-2.373 0.000 7.012
Ho Te P Se
4 2 1 1
Cartesian
1.109 0.000 1.466 Ho
-0.084 2.061 5.519 Ho
4.876 2.061 1.492 Ho
3.683 0.000 5.546 Ho
-1.186 0.000 3.506 Te
2.396 2.061 3.506 Te
0.000 2.061 0.000 P
3.582 0.000 0.000 Se
```

## Properties
Formation energy from raw total energies (eV/atom): -1.54
Calculated volume (A^3/atom): 25.9
SG: P2/m, No. 10
Size of the total moment (Bohr magnetons per cell): 0.000



An optimized crystal structure of Ho6TeP3Se2, computed with GGA-PBE.

```
Ho6TeP3Se2
1.0
8.943 -2.018 0.000
8.943 2.018 0.000
-2.114 0.000 7.951
Ho Te P Se
6 1 3 2
Cartesian
-0.390 0.000 1.795 Ho
4.886 0.000 3.402 Ho
4.134 0.000 7.197 Ho
11.637 0.000 0.755 Ho
10.885 0.000 4.549 Ho
16.161 0.000 6.156 Ho
7.885 0.000 3.976 Te
2.260 0.000 2.634 P
8.943 0.000 0.000 P
13.511 0.000 5.317 P
1.233 0.000 6.627 Se
14.538 0.000 1.325 Se
```

## Properties
Formation energy from raw total energies (eV/atom): -1.68
Calculated volume (A^3/atom): 23.9
SG: C2/m, No. 12
Size of the total moment (Bohr magnetons per cell): 0.000



An optimized crystal structure of Ho4TlPSe2, computed with GGA-PBE.

```
Ho4TlPSe2
1.0
7.190 0.000 0.000
0.000 4.033 0.000
-2.307 0.000 6.872
Ho Tl P Se
4 1 1 2
Cartesian
1.160 0.000 1.605 Ho
0.053 2.017 5.256 Ho
4.830 2.017 1.616 Ho
3.723 0.000 5.267 Ho
-1.153 0.000 3.436 Tl
0.000 2.017 0.000 P
3.595 0.000 0.000 Se
2.442 2.017 3.436 Se
```

## Properties
Formation energy from raw total energies (eV/atom): -1.32
Calculated volume (A^3/atom): 24.9
SG: P2/m, No. 10
Size of the total moment (Bohr magnetons per cell): 0.000



An optimized crystal structure of Ho6TlP2Se3, computed with GGA-PBE.

```
Ho6TlP2Se3
1.0
8.939 -2.015 0.000
8.939 2.015 0.000
-1.927 0.000 8.103
Ho Tl P Se
6 1 2 3
Cartesian
-0.403 0.000 2.137 Ho
5.023 0.000 3.470 Ho
4.162 0.000 7.261 Ho
11.789 0.000 0.842 Ho
10.928 0.000 4.633 Ho
16.354 0.000 5.965 Ho
8.939 0.000 0.000 Tl
2.359 0.000 2.736 P
13.592 0.000 5.367 P
1.369 0.000 6.736 Se
7.976 0.000 4.051 Se
14.582 0.000 1.366 Se
```

## Properties
Formation energy from raw total energies (eV/atom): -1.47
Calculated volume (A^3/atom): 24.3
SG: C2/m, No. 12
Size of the total moment (Bohr magnetons per cell): 0.000



An optimized crystal structure of Ho8ZnP3Se4, computed with GGA-PBE.

```
Ho8ZnP3Se4
1.0
4.022 2.322 6.655
-4.022 2.322 6.655
0.000 -4.644 6.655
Ho Zn P Se
8 1 3 4
Cartesian
0.000 0.000 4.840 Ho
-2.033 -1.174 11.553 Ho
0.000 -2.347 8.413 Ho
-2.033 1.174 8.413 Ho
2.033 -1.174 11.553 Ho
0.000 2.347 11.553 Ho
2.033 1.174 8.413 Ho
0.000 0.000 15.126 Ho
0.000 0.000 9.983 Zn
-4.022 0.000 9.983 P
-2.011 1.161 3.328 P
2.011 1.161 3.328 P
0.000 0.000 0.000 Se
-2.011 -1.161 6.655 Se
-2.011 1.161 13.311 Se
0.000 2.322 6.655 Se
```

## Properties
Formation energy from raw total energies (eV/atom): -1.56
Calculated volume (A^3/atom): 23.3
SG: R-3m, No. 166
Size of the total moment (Bohr magnetons per cell): 0.000



An optimized crystal structure of HoZrPSe, computed with GGA-PBE.

```
HoZrPSe
1.0
1.907 1.101 6.788
-1.907 1.101 6.788
0.000 -2.202 6.788
Ho Zr P Se
1 1 1 1
Cartesian
0.000 0.000 0.000 Ho
0.000 0.000 16.539 Zr
0.000 0.000 8.373 P
0.000 0.000 4.780 Se
```

## Properties
Formation energy from raw total energies (eV/atom): -1.52
Calculated volume (A^3/atom): 21.4
SG: R3m, No. 160
Size of the total moment (Bohr magnetons per cell): 0.000



An optimized crystal structure of Ho2SiP, computed with GGA-PBE.

```
Ho2SiP
1.0
2.063 -11.027 0.000
2.063 11.027 0.000
0.000 0.000 3.878
Ho Si P
4 2 2
Cartesian
2.063 9.557 2.909 Ho
2.063 4.121 2.909 Ho
2.063 -4.121 0.970 Ho
2.063 -9.557 0.970 Ho
2.063 0.813 2.909 Si
2.063 -0.813 0.970 Si
2.063 6.875 2.909 P
2.063 -6.875 0.970 P
```

## Properties
Formation energy from raw total energies (eV/atom): -1.21
Calculated volume (A^3/atom): 22.1
SG: Cmcm, No. 63
Size of the total moment (Bohr magnetons per cell): 0.000